Entry 1:
{"formula": "Ba2YCl6", "functional": "PBE-GGA", "state": "optimized geometry", "raw_formation_energy_ev_per_atom": -2.23, "magnetic_moment_mub_per_cell": 2.045, "n_ef_per_ev_cell": 1.29, "crystal_system": "tetragonal", "lattice_angstrom": [[7.163, 0.000, 0.000], [0.000, 7.163, 0.000], [0.000, 0.000, 12.752]], "species": ["Ba", "Ba", "Ba", "Ba", "Y", "Y", "Cl", "Cl", "Cl", "Cl", "Cl", "Cl", "Cl", "Cl", "Cl", "Cl", "Cl", "Cl"], "frac_coords": [[0.000, 0.000, 0.176], [0.000, 0.000, 0.824], [0.500, 0.500, 0.324], [0.500, 0.500, 0.676], [0.000, 0.000, 0.500], [0.500, 0.500, 0.000], [0.201, 0.201, 0.357], [0.201, 0.201, 0.643], [0.229, 0.229, 0.000], [0.271, 0.729, 0.500], [0.299, 0.701, 0.143], [0.299, 0.701, 0.857], [0.701, 0.299, 0.143], [0.701, 0.299, 0.857], [0.729, 0.271, 0.500], [0.771, 0.771, 0.000], [0.799, 0.799, 0.357], [0.799, 0.799, 0.643]]}

Entry 2:
{"formula": "Ba2YCl", "functional": "PBE-GGA", "state": "optimized geometry", "raw_formation_energy_ev_per_atom": -0.55, "magnetic_moment_mub_per_cell": 1.840, "n_ef_per_ev_cell": 4.52, "crystal_system": "tetragonal", "relative_energy_ev_per_atom": 0.150, "lattice_angstrom": [[4.037, 0.000, 0.000], [0.000, 4.037, 0.000], [0.000, 0.000, 11.013]], "species": ["Ba", "Ba", "Y", "Cl"], "frac_coords": [[0.000, 0.000, 0.000], [0.500, 0.500, 0.414], [0.500, 0.500, 0.754], [0.000, 0.000, 0.298]]}

Entry 3:
{"formula": "Ba2YCl7", "functional": "PBE-GGA", "state": "optimized geometry", "raw_formation_energy_ev_per_atom": -2.39, "magnetic_moment_mub_per_cell": 0.507, "n_ef_per_ev_cell": 0.00, "crystal_system": "orthorhombic", "relative_energy_ev_per_atom": 0.049, "lattice_angstrom": [[10.748, 0.000, 0.000], [0.000, 7.135, 0.000], [0.000, 0.000, 16.906]], "species": ["Ba", "Ba", "Ba", "Ba", "Ba", "Ba", "Ba", "Ba", "Y", "Y", "Y", "Y", "Cl", "Cl", "Cl", "Cl", "Cl", "Cl", "Cl", "Cl", "Cl", "Cl", "Cl", "Cl", "Cl", "Cl", "Cl", "Cl", "Cl", "Cl", "Cl", "Cl", "Cl", "Cl", "Cl", "Cl", "Cl", "Cl", "Cl", "Cl"], "frac_coords": [[0.128, 0.250, 0.222], [0.172, 0.250, 0.941], [0.328, 0.750, 0.441], [0.372, 0.750, 0.722], [0.628, 0.250, 0.278], [0.672, 0.250, 0.559], [0.828, 0.750, 0.059], [0.872, 0.750, 0.778], [0.088, 0.250, 0.652], [0.412, 0.750, 0.152], [0.588, 0.250, 0.848], [0.912, 0.750, 0.348], [0.034, 0.750, 0.939], [0.093, 0.509, 0.382], [0.093, 0.991, 0.382], [0.114, 0.017, 0.776], [0.114, 0.483, 0.776], [0.249, 0.009, 0.591], [0.249, 0.491, 0.591], [0.251, 0.509, 0.091], [0.251, 0.991, 0.091], [0.386, 0.517, 0.276], [0.386, 0.983, 0.276], [0.407, 0.009, 0.882], [0.407, 0.491, 0.882], [0.466, 0.250, 0.439], [0.534, 0.750, 0.561], [0.593, 0.509, 0.118], [0.593, 0.991, 0.118], [0.614, 0.017, 0.724], [0.614, 0.483, 0.724], [0.749, 0.009, 0.909], [0.749, 0.491, 0.909], [0.751, 0.509, 0.409], [0.751, 0.991, 0.409], [0.886, 0.517, 0.224], [0.886, 0.983, 0.224], [0.907, 0.009, 0.618], [0.907, 0.491, 0.618], [0.966, 0.250, 0.061]]}

Entry 4:
{"formula": "Ba2YCl", "functional": "PBE-GGA", "state": "optimized geometry", "raw_formation_energy_ev_per_atom": -0.54, "magnetic_moment_mub_per_cell": 0.400, "n_ef_per_ev_cell": 5.43, "crystal_system": "monoclinic", "relative_energy_ev_per_atom": 0.162, "lattice_angstrom": [[6.669, -1.949, 0.000], [6.669, 1.949, 0.000], [-3.278, 0.000, 6.193]], "species": ["Ba", "Ba", "Y", "Cl"], "frac_coords": [[0.000, 0.000, 0.000], [0.171, 0.171, 0.647], [0.375, 0.375, 0.397], [0.752, 0.752, 0.064]]}

no.,calculated total energy (eV per atom)
1,-4.610
2,-3.591
3,-4.715
4,-3.579